Below is an optimized crystal structure of PmDyPI, with properties calculated at the PBE level.

Structure (extended XYZ):
```
4
Lattice="2.052 1.184 7.545 -2.052 1.184 7.545 0.000 -2.369 7.545" Properties=species:S:1:pos:R:3 pbc="T T T"
Pm 0.000 0.000 0.000
Dy 0.000 0.000 17.986
P 0.000 0.000 9.105
I 0.000 0.000 5.153
```

Uncorrected formation energy, meV/atom: -1342
D(E_F), states/eV per cell: 0.75
Crystal system: trigonal

Below is an optimized crystal structure of GePdPtRh, with properties calculated at the PBE level.

Structure (extended XYZ):
```
4
Lattice="0.000 3.110 3.110 3.110 0.000 3.110 3.110 3.110 0.000" Properties=species:S:1:pos:R:3 pbc="T T T"
Ge 0.000 0.000 0.000
Pd 3.110 3.110 3.110
Pt 4.665 4.665 4.665
Rh 1.555 1.555 1.555
```

ΔE_f, meV per atom: -212
D(E_F), states/eV per cell: 2.31
Crystal system: cubic

Below is an optimized crystal structure of CsHf2Ni, with properties calculated at the PBE level.

Structure (extended XYZ):
```
4
Lattice="0.000 3.477 3.477 3.477 0.000 3.477 3.477 3.477 0.000" Properties=species:S:1:pos:R:3 pbc="T T T"
Cs 0.000 0.000 0.000
Hf 1.739 1.739 1.739
Hf 5.216 5.216 5.216
Ni 3.477 3.477 3.477
```

ΔE_f, meV per atom: 1113
D(E_F), states/eV per cell: 7.27
Relative energy among the computed polymorphs, eV per atom: 0.000
Crystal system: cubic